The following is a DFT calculation (PBE+U) of a relaxed MnCl3F crystal.

## Properties
As for the magnetic moment: 15.84 μB per cell. As for the relative energy among the computed polymorphs: 0 meV/atom.

Cell lengths 6.7215, 10.0753, 10.2583 Å; angles 90.00, 94.85, 90.00 degrees
With the nearest neighbours (Å) after each atom.
Space group P2/c (No. 13)
Inequivalent atoms, fractional coordinates:
Mn 0.0818 0.1194 0.3962 (multiplicity 4)  2 F 1.97-1.99, 1 Cl 2.19
Cl 0.0556 0.4892 0.4133 (multiplicity 4)  1 Cl 2.00
Cl 0.0831 0.1348 0.9192 (multiplicity 4)  1 Mn 2.28
Cl 0.3714 0.1789 0.4929 (multiplicity 4)  1 Mn 2.19
F 0.1717 0.1277 0.2188 (multiplicity 4)  2 Mn 1.97-1.99